Material: Zn2InSnN4
Method: DFT, PBE
State: relaxed

```
Zn2InSnN4
1.0
6.8668 0.0000 0.0000
0.0000 5.8610 0.0000
0.0000 0.0000 5.5688
Zn In Sn N
4 2 2 8
Direct
0.2502 0.1672 0.0000
0.2498 0.8328 0.5000
0.7498 0.1672 0.0000
0.7502 0.8328 0.5000
0.0000 0.3253 0.5007
0.5000 0.6746 0.0007
0.0000 0.6761 0.0012
0.5000 0.3239 0.5012
0.0000 0.3330 0.8918
0.0000 0.6799 0.3775
0.2434 0.8440 0.8660
0.2566 0.1560 0.3660
0.5000 0.3201 0.8775
0.5000 0.6670 0.3918
0.7434 0.1560 0.3660
0.7566 0.8440 0.8660
```

Values from the calculation:
formation energy (no corrections)	1.6	eV per formula unit
space-group type	Pmn2_1


Material: RbScCu2Br8
Method: DFT, PBE
State: relaxed

```
RbScCu2Br8
1.0
5.2974 -3.8094 0.0000
5.2974 3.8094 0.0000
-0.3959 0.0000 10.1578
Rb Sc Cu Br
1 1 2 8
Direct
0.0000 0.0000 0.0000
0.0000 0.0000 0.5000
0.3588 0.3588 0.7128
0.6412 0.6412 0.2872
0.2373 0.7604 0.3062
0.2396 0.7627 0.6938
0.2512 0.2512 0.5030
0.3268 0.3268 0.9369
0.6732 0.6732 0.0631
0.7488 0.7488 0.4970
0.7604 0.2373 0.3062
0.7627 0.2396 0.6938
```

Values from the calculation:
formation energy (no corrections)	-11.2	eV per formula unit
space-group type	C2/m


Material: RbMgAgAs
Method: DFT, PBE
State: relaxed

```
RbMgAgAs
1.0
4.2446 0.0000 0.0000
0.0000 4.2446 0.0000
0.0000 0.0000 13.4675
Rb Mg Ag As
2 2 2 2
Direct
0.2500 0.2500 0.2403
0.7500 0.7500 0.7597
0.2500 0.7500 0.5000
0.7500 0.2500 0.5000
0.2500 0.7500 0.0000
0.7500 0.2500 0.0000
0.2500 0.2500 0.6215
0.7500 0.7500 0.3785
```

Values from the calculation:
E_form	-0.315	eV per atom
space-group type	P4/nmm


Material: ZrCoMo2
Method: DFT, PBE
State: relaxed

```
ZrCoMo2
1.0
2.8142 0.0000 0.0000
0.0000 4.5990 0.0000
-0.8646 0.0000 4.9763
Zr Co Mo
1 1 2
Direct
0.0000 0.0000 0.0000
0.5000 0.0000 0.5000
0.2654 0.5000 0.7476
0.7346 0.5000 0.2524
```

Values from the calculation:
energy relative to the lowest polymorph listed for this composition	205	meV per atom
E_form	0.188	eV per atom
space-group type	P2/m


Material: PtC2
Method: DFT, PBE
State: relaxed

```
PtC2
1.0
0.0000 3.1443 3.1443
3.1443 0.0000 3.1443
3.1443 3.1443 0.0000
Pt C
2 4
Direct
0.1250 0.1250 0.1250
0.8750 0.8750 0.8750
0.0000 0.5000 0.5000
0.5000 0.0000 0.5000
0.5000 0.5000 0.0000
0.5000 0.5000 0.5000
```

Values from the calculation:
energy relative to the lowest polymorph listed for this composition	2749	meV per atom
E_form	3.070	eV per atom
space-group type	Fd-3m


Material: Mg2MnOs
Method: DFT, PBE
State: relaxed

```
Mg2MnOs
1.0
2.9083 0.0000 0.0000
0.0000 2.9083 0.0000
0.0000 0.0000 7.6946
Mg Mn Os
2 1 1
Direct
0.0000 0.0000 0.0000
0.5000 0.5000 0.3324
0.0000 0.0000 0.5737
0.5000 0.5000 0.7489
```

Values from the calculation:
energy relative to the lowest polymorph listed for this composition	0	meV per atom
E_form	0.084	eV per atom
space-group type	P4mm


Material: Zn2Cd5Au
Method: DFT, PBE
State: relaxed

```
Zn2Cd5Au
1.0
1.4830 -5.8458 0.0000
1.4830 5.8458 0.0000
0.0000 0.0000 18.6579
Zn Cd Au
4 10 2
Direct
0.1889 0.8111 0.6503
0.1889 0.8111 0.8497
0.8111 0.1889 0.1503
0.8111 0.1889 0.3497
0.0759 0.9241 0.1127
0.0759 0.9241 0.3873
0.3667 0.6333 0.0262
0.3667 0.6333 0.4738
0.4728 0.5272 0.2500
0.5272 0.4728 0.7500
0.6333 0.3667 0.5262
0.6333 0.3667 0.9738
0.9241 0.0759 0.6127
0.9241 0.0759 0.8873
0.2011 0.7989 0.2500
0.7989 0.2011 0.7500
```

Values from the calculation:
E_form	-0.020	eV per atom
space-group type	Cmcm


Material: TcSn2N
Method: DFT, PBE
State: relaxed

```
TcSn2N
1.0
-3.2175 3.2175 3.4746
3.2175 -3.2175 3.4746
3.2175 3.2175 -3.4746
Tc Sn N
2 4 2
Direct
0.0000 0.0000 0.0000
0.7500 0.2500 0.5000
0.1892 0.6250 0.0642
0.3750 0.4392 0.5642
0.5608 0.1250 0.9358
0.8750 0.8108 0.4358
0.2500 0.7500 0.5000
0.5000 0.5000 0.0000
```

Values from the calculation:
formation energy (no corrections)	2.6	eV per formula unit
space-group type	I-42d


Number 1: magnetic moment 0.0 μB per cell. Number 2: magnetic moment 2.1 μB per cell. Number 3: magnetic moment 0.0 μB per cell. Number 4: magnetic moment 1.3 μB per cell. Number 5: magnetic moment 0.0 μB per cell. Number 6: magnetic moment 0.9 μB per cell. Number 7: magnetic moment 0.0 μB per cell. Number 8: magnetic moment 3.2 μB per cell.